Record 1
Below is a relaxed structure of SrLaZn2, with properties calculated at the PBE level.

Cell: 3.8393 3.8510 7.6319 Å, 90.00 90.00 90.00°
Last column: nearest neighbours and their distance in Å.
Space group Pmmm (No. 47)
One atom of each set of equivalent atoms:
Sr 0.0000 0.0000 0.0000 [1 per cell]  8 Zn 3.42, 2 La 3.82
La 0.0000 0.0000 0.5000 [1 per cell]  8 Zn 3.23
Zn 0.5000 0.5000 0.2719 [2 per cell]  4 La 3.23, 4 Sr 3.42, 1 Zn 3.48

Results
E_form: -95 kJ/mol of formula units
VASP energy: -2.536 eV/atom
M_tot: 0.2 μB per cell

***

Record 2
Below is a relaxed structure of Pm12Dy7Mg, with properties calculated at the PBE level.

Cell: 15.0683 15.0683 10.1818 Å, 90.00 90.00 120.00°
Last column: nearest neighbours and their distance in Å.
Space group R-3 (No. 148, hexagonal axes)
One atom of each set of equivalent atoms:
Pm 0.0432 0.8500 0.2502 [18 per cell]  5 Dy 3.36-3.70, 3 Pm 3.40-3.71, 1 Mg 3.67
Pm 0.0452 0.7956 0.5742 [18 per cell]  4 Dy 3.33-3.60, 3 Pm 3.40-3.71
Dy 0.0000 0.0000 0.5000 [3 per cell]  12 Pm 3.55-3.67
Dy 0.0655 0.8227 0.9261 [18 per cell]  7 Pm 3.33-3.70, 1 Mg 3.36, 3 Dy 3.46-3.61
Mg 0.0000 0.0000 0.0000 [3 per cell]  6 Dy 3.36, 6 Pm 3.67

Results
E_form: 277 kJ/mol of formula units
E above lowest polymorph: 0.000 eV/atom
VASP energy: -4.397 eV/atom
M_tot: 0.0 μB per cell

***

Record 3
Below is a relaxed structure of Li12Cd2Cu, with properties calculated at the PBE level.

Cell: 5.5477 5.5477 19.2034 Å, 90.00 90.00 90.00°
Last column: nearest neighbours and their distance in Å.
Space group P4/nbm (No. 125, origin choice 2)
One atom of each set of equivalent atoms:
Li 0.0000 0.0000 0.0824 [8 per cell]  2 Cu 2.52, 4 Li 2.77
Li 0.0711 0.5711 0.4352 [8 per cell]  8 Li 2.73-2.88
Li 0.2500 0.2500 0.2019 [4 per cell]  1 Li 2.55
Li 0.2500 0.2500 0.3344 [4 per cell]  5 Li 2.55-2.81
Cd 0.2500 0.7500 0.2846 [4 per cell]  10 Li 2.93-3.22
Cu 0.2500 0.7500 0.0000 [2 per cell]  8 Li 2.52

Results
E_form: 94 kJ/mol of formula units
VASP energy: -1.861 eV/atom
M_tot: 0.0 μB per cell

***

Record 4
Below is a relaxed structure of YTmPa2As4, with properties calculated at the PBE level.

Cell: 7.0742 4.0913 7.0858 Å, 90.00 109.50 90.00°
Last column: nearest neighbours and their distance in Å.
Space group P2/m (No. 10)
One atom of each set of equivalent atoms:
Y 0.0000 0.0000 0.0000 [1 per cell]  6 As 2.90
Tm 0.0000 0.5000 0.5000 [1 per cell]  6 As 2.88
Pa 0.5000 0.0000 0.5000 [1 per cell]  6 As 2.88
Pa 0.5000 0.5000 0.0000 [1 per cell]  6 As 2.90
As 0.2491 0.0000 0.7478 [2 per cell]  2 Tm 2.88, 3 Pa 2.88-2.90, 1 Y 2.90
As 0.2506 0.5000 0.2522 [2 per cell]  1 Tm 2.88, 3 Pa 2.88-2.90, 2 Y 2.90

Results
E_form: -983 kJ/mol of formula units
VASP energy: -7.339 eV/atom
M_tot: 0.0 μB per cell

***

Record 5
Below is a relaxed structure of PuMgTcRh, with properties calculated at the PBE level.

Cell: 6.5185 6.5185 6.5185 Å, 90.00 90.00 90.00°
Last column: nearest neighbours and their distance in Å.
Space group F-43m (No. 216)
One atom of each set of equivalent atoms:
Pu 0.0000 0.0000 0.0000 [4 per cell]  4 Tc 2.82, 4 Rh 2.82
Mg 0.0000 0.0000 0.5000 [4 per cell]  4 Tc 2.82, 4 Rh 2.82
Tc 0.2500 0.2500 0.2500 [4 per cell]  4 Mg 2.82, 4 Pu 2.82
Rh 0.2500 0.2500 0.7500 [4 per cell]  4 Mg 2.82, 4 Pu 2.82

Results
E_form: -85 kJ/mol of formula units
VASP energy: -8.632 eV/atom
M_tot: 15.0 μB per cell

***

Record 6
Below is a relaxed structure of LaTc2H8, with properties calculated at the PBE level.

Cell: 4.9602 8.5885 4.3643 Å, 90.00 90.07 90.00°
Last column: nearest neighbours and their distance in Å.
Space group Cm (No. 8)
One atom of each set of equivalent atoms:
La 0.0000 0.0000 0.0000 [2 per cell]  6 H 2.37-2.40
Tc 0.0022 0.3333 0.4495 [4 per cell]  7 H 1.72-1.83
H 0.0039 0.3328 0.8433 [4 per cell]  1 Tc 1.72
H 0.0593 0.5000 0.2088 [2 per cell]  2 Tc 1.80
H 0.2217 0.2198 0.2097 [4 per cell]  2 Tc 1.80
H 0.2972 0.0000 0.5653 [2 per cell]  2 Tc 1.83, 1 H 2.03
H 0.3559 0.3537 0.5603 [4 per cell]  2 Tc 1.83, 1 H 2.03

Results
E above lowest polymorph: 0.007 eV/atom
VASP energy: -4.922 eV/atom
M_tot: 0.0 μB per cell

***

Record 7
Below is a relaxed structure of VP, with properties calculated at the PBE level.

Cell: 3.1115 10.3090 5.6473 Å, 90.00 90.00 90.00°
Last column: nearest neighbours and their distance in Å.
Space group Pmmn (No. 59, origin choice 2)
One atom of each set of equivalent atoms:
V 0.2500 0.1169 0.0280 [4 per cell]  4 P 2.34-2.42
V 0.2500 0.7500 0.6540 [2 per cell]  4 P 2.32-2.43
P 0.2500 0.2500 0.6757 [2 per cell]  4 V 2.42-2.43
P 0.2500 0.5263 0.7056 [4 per cell]  4 V 2.32-2.36

Results
E_form: -54 kJ/mol of formula units
VASP energy: -7.543 eV/atom
M_tot: 0.0 μB per cell

***

Record 8
Below is a relaxed structure of Ba2Al4Zn3Ga, with properties calculated at the PBE level.

Cell: 4.5108 4.5108 11.2384 Å, 90.00 90.00 90.00°
Last column: nearest neighbours and their distance in Å.
Space group P-4m2 (No. 115)
One atom of each set of equivalent atoms:
Ba 0.0000 0.5000 0.2468 [2 per cell]  8 Al 3.46-3.63, 6 Zn 3.47-3.57, 2 Ga 3.57
Al 0.0000 0.0000 0.5000 [1 per cell]  4 Zn 2.70
Al 0.0000 0.5000 0.8714 [2 per cell]  3 Zn 2.68-2.69, 2 Ga 2.68
Al 0.5000 0.5000 0.5000 [1 per cell]  4 Zn 2.70
Zn 0.0000 0.0000 0.0000 [1 per cell]  4 Al 2.68
Zn 0.0000 0.5000 0.6319 [2 per cell]  5 Al 2.69-2.70
Ga 0.5000 0.5000 0.0000 [1 per cell]  4 Al 2.68

Results
E_form: -249 kJ/mol of formula units
VASP energy: -2.825 eV/atom
M_tot: 0.0 μB per cell

***

Record 9
Below is a relaxed structure of TbPbSe2, with properties calculated at the PBE level.

Cell: 4.0783 4.0783 27.3810 Å, 90.00 90.00 120.00°
Last column: nearest neighbours and their distance in Å.
Space group R-3m (No. 166, hexagonal axes)
One atom of each set of equivalent atoms:
Tb 0.0000 0.0000 0.0000 [3 per cell]  6 Se 2.86
Pb 0.0000 0.0000 0.5000 [3 per cell]  2 Se 2.95
Se 0.0000 0.0000 0.3924 [6 per cell]  3 Tb 2.86, 1 Pb 2.95

Results
formation energy without anion corrections: -1151.2 meV per atom
E above lowest polymorph: 0.031 eV/atom
VASP energy: -4.978 eV/atom
M_tot: 0.0 μB per cell

***

Record 10
Below is a relaxed structure of Y2Tm5Sb5, with properties calculated at the PBE level.

Cell: 14.0107 4.3040 12.4656 Å, 90.00 108.76 90.00°
Last column: nearest neighbours and their distance in Å.
Space group C2/m (No. 12)
One atom of each set of equivalent atoms:
Y 0.0418 0.0000 0.2823 [4 per cell]  4 Sb 2.96-3.06
Tm 0.0000 0.5000 0.0000 [2 per cell]  4 Sb 3.00
Tm 0.1596 0.5000 0.5358 [4 per cell]  5 Sb 3.03-3.23
Tm 0.2189 0.5000 0.8405 [4 per cell]  5 Sb 2.94-3.16
Sb 0.0000 0.0000 0.5000 [2 per cell]  2 Y 2.96, 4 Tm 3.03
Sb 0.1217 0.0000 0.9378 [4 per cell]  5 Tm 2.94-3.00, 1 Y 2.96
Sb 0.1998 0.5000 0.2944 [4 per cell]  2 Y 3.06, 5 Tm 3.16-3.23

Results
formation energy without anion corrections: -797.6 meV per atom
VASP energy: -5.456 eV/atom
M_tot: 0.0 μB per cell

***

Record 11
Below is a relaxed structure of TaIr2Pt, with properties calculated at the PBE level.

Cell: 5.6297 5.6297 11.7728 Å, 90.00 90.00 90.00°
Last column: nearest neighbours and their distance in Å.
Space group I-42d (No. 122)
One atom of each set of equivalent atoms:
Ta 0.0000 0.0000 0.0000 [4 per cell]  4 Ir 2.50
Ir 0.2434 0.2500 0.6250 [8 per cell]  2 Pt 2.45, 2 Ta 2.50
Pt 0.0000 0.0000 0.5000 [4 per cell]  4 Ir 2.45

Results
E_form: 253 kJ/mol of formula units
E above lowest polymorph: 1.302 eV/atom
VASP energy: -8.249 eV/atom
M_tot: 0.0 μB per cell

***

Record 12
Below is a relaxed structure of TbCuAg2, with properties calculated at the PBE level.

Cell: 3.4502 3.4502 6.5992 Å, 90.00 90.00 90.00°
Last column: nearest neighbours and their distance in Å.
Space group P4/mmm (No. 123)
One atom of each set of equivalent atoms:
Tb 0.0000 0.0000 0.0000 [1 per cell]  8 Ag 3.10, 2 Cu 3.30, 4 Tb 3.45
Cu 0.0000 0.0000 0.5000 [1 per cell]  8 Ag 2.80
Ag 0.5000 0.5000 0.2904 [2 per cell]  1 Ag 2.77, 4 Cu 2.80

Results
E_form: -31 kJ/mol of formula units
E above lowest polymorph: 0.161 eV/atom
VASP energy: -3.689 eV/atom
M_tot: 0.0 μB per cell

***

Record 13
Below is a relaxed structure of MgCdW2, with properties calculated at the PBE level.

Cell: 5.4544 9.5415 2.7508 Å, 90.00 103.23 90.00°
Last column: nearest neighbours and their distance in Å.
Space group C2/m (No. 12)
One atom of each set of equivalent atoms:
Mg 0.0000 0.0000 0.0000 [2 per cell]  2 Cd 2.73, 2 Mg 2.75, 4 W 2.93
Cd 0.0000 0.5000 0.0000 [2 per cell]  2 Mg 2.73, 2 Cd 2.75, 4 W 2.93
W 0.2500 0.2500 0.5000 [4 per cell]  4 W 2.73-2.75, 2 Cd 2.93, 2 Mg 2.93

Results
E_form: 198 kJ/mol of formula units
E above lowest polymorph: 0.225 eV/atom
VASP energy: -6.591 eV/atom
M_tot: 0.0 μB per cell

***

Record 14
Below is a relaxed structure of Sr2Hg2F, with properties calculated at the PBE level.

Cell: 7.4141 7.4141 5.4696 Å, 90.00 90.00 90.00°
Last column: nearest neighbours and their distance in Å.
Space group P4/mbm (No. 127)
One atom of each set of equivalent atoms:
Sr 0.1920 0.3080 0.0000 [4 per cell]  2 F 2.69
Hg 0.1348 0.6348 0.5000 [4 per cell]  1 Hg 2.83
F 0.0000 0.0000 0.0000 [2 per cell]  4 Sr 2.69

Results
formation energy without anion corrections: -1250.5 meV per atom
VASP energy: -2.418 eV/atom
M_tot: 0.0 μB per cell

***

Record 15
Below is a relaxed structure of LiTlRe2, with properties calculated at the PBE level.

Cell: 3.2637 3.2637 6.1018 Å, 90.00 90.00 90.00°
Last column: nearest neighbours and their distance in Å.
Space group P4/mmm (No. 123)
One atom of each set of equivalent atoms:
Li 0.0000 0.0000 0.0000 [1 per cell]  8 Re 2.58
Tl 0.0000 0.0000 0.5000 [1 per cell]  8 Re 2.98, 2 Li 3.05, 4 Tl 3.26
Re 0.5000 0.5000 0.1902 [2 per cell]  1 Re 2.32, 4 Li 2.58

Results
E_form: 348 kJ/mol of formula units
E above lowest polymorph: 0.632 eV/atom
VASP energy: -6.392 eV/atom
M_tot: 0.0 μB per cell

***

Record 16
Below is a relaxed structure of SmScGa2, with properties calculated at the PBE level.

Cell: 3.5557 3.5557 25.8813 Å, 90.00 90.00 120.00°
Last column: nearest neighbours and their distance in Å.
Space group R-3m (No. 166, hexagonal axes)
One atom of each set of equivalent atoms:
Sm 0.0000 0.0000 0.0000 [3 per cell]  6 Ga 3.09
Sc 0.0000 0.0000 0.5000 [3 per cell]  6 Ga 2.87
Ga 0.0000 0.0000 0.2443 [6 per cell]  3 Sc 2.87, 3 Sm 3.09

Results
E_form: -145 kJ/mol of formula units
E above lowest polymorph: 0.210 eV/atom
VASP energy: -4.651 eV/atom
M_tot: 0.0 μB per cell

***

Record 17
Below is a relaxed structure of LiHf2In2Te6, with properties calculated at the PBE level.

Cell: 7.2184 12.6537 8.0283 Å, 90.00 108.07 90.00°
Last column: nearest neighbours and their distance in Å.
Space group C2/m (No. 12)
One atom of each set of equivalent atoms:
Li 0.0000 0.0000 0.0000 [2 per cell]  6 Te 2.94-3.04
Hf 0.0000 0.3309 0.0000 [4 per cell]  6 Te 2.88-2.92
In 0.0000 0.1623 0.5000 [4 per cell]  6 Te 3.17-3.27
Te 0.2310 0.5000 0.2093 [4 per cell]  2 Hf 2.91, 1 Li 2.94
Te 0.2471 0.1745 0.2219 [8 per cell]  2 Hf 2.88-2.92, 1 Li 3.04, 1 In 3.17

Results
formation energy without anion corrections: -620.0 meV per atom
VASP energy: -4.815 eV/atom
M_tot: 0.0 μB per cell

***

Record 18
Below is a relaxed structure of VAsPbSe2, with properties calculated at the PBE level.

Cell: 5.0104 5.0104 4.8664 Å, 90.00 90.00 90.00°
Last column: nearest neighbours and their distance in Å.
Space group P4/mmm (No. 123)
One atom of each set of equivalent atoms:
V 0.0000 0.0000 0.0000 [1 per cell]  2 As 2.43, 4 Se 2.51
As 0.0000 0.0000 0.5000 [1 per cell]  2 V 2.43
Pb 0.5000 0.5000 0.5000 [1 per cell]  8 Se 3.49, 4 As 3.54
Se 0.0000 0.5000 0.0000 [2 per cell]  2 V 2.51

Results
formation energy without anion corrections: -75.4 meV per atom
E above lowest polymorph: 0.000 eV/atom
VASP energy: -4.964 eV/atom
M_tot: 0.0 μB per cell

***

Record 19
Below is a relaxed structure of KZnSn2Pb, with properties calculated at the PBE level.

Cell: 6.0013 6.0013 6.0747 Å, 90.00 90.00 90.00°
Last column: nearest neighbours and their distance in Å.
Space group P4/mmm (No. 123)
One atom of each set of equivalent atoms:
K 0.0000 0.0000 0.0000 [1 per cell]  4 Sn 3.00, 2 Pb 3.04
Zn 0.5000 0.5000 0.5000 [1 per cell]  4 Pb 4.24, 8 Sn 4.27
Sn 0.0000 0.5000 0.0000 [2 per cell]  2 K 3.00
Pb 0.0000 0.0000 0.5000 [1 per cell]  2 K 3.04

Results
E_form: 553 kJ/mol of formula units
VASP energy: -1.672 eV/atom
M_tot: 0.0 μB per cell

***

Record 20
Below is a relaxed structure of Al5Zn3Ga12, with properties calculated at the PBE level.

Cell: 15.0609 15.0609 15.0609 Å, 90.00 90.00 90.00°
Last column: nearest neighbours and their distance in Å.
Space group Ia-3d (No. 230)
One atom of each set of equivalent atoms:
Al 0.0000 0.0000 0.0000 [16 per cell]  6 Ga 2.61
Al 0.0000 0.2500 0.3750 [24 per cell]  4 Ga 2.55
Zn 0.0000 0.2500 0.1250 [24 per cell]  4 Ga 2.54
Ga 0.0171 0.0842 0.6508 [96 per cell]  1 Zn 2.54, 2 Al 2.55-2.61, 1 Ga 2.76

Results
E_form: 332 kJ/mol of formula units
VASP energy: -2.771 eV/atom
M_tot: 0.0 μB per cell